A relaxed NaTlTcF2 crystal, computed with PBE-GGA.

Cell: 4.1712 4.1712 5.5209 Å, 90.00 90.00 90.00°
Closest atoms and distances in Å follow each position.
Space group P4/mmm (No. 123)
Unique sites:
1 Na 0.0000 0.0000 0.0000 [1 per cell]  4 F 2.09
2 Tl 0.5000 0.5000 0.5000 [1 per cell]  4 Tc 2.95
3 Tc 0.0000 0.0000 0.5000 [1 per cell]  2 Na 2.76, 4 Tl 2.95
4 F 0.0000 0.5000 0.0000 [2 per cell]  2 Na 2.09

Properties
**Crystal system**: tetragonal
**DOS at the Fermi energy**: 2.0 states/eV per cell
**Formation energy without anion corrections**: -0.469 eV/atom